1.
This record from the Alexandria database describes a relaxed CeTh2C3 crystal. The functional is PBE.

- Formation energy: -198.8 meV per atom
- Relative energy among the computed polymorphs: 0.0 meV/atom
- Symmetry: Immm, No. 71

Unit cell a=3.7531 b=5.2918 c=6.4944 alpha=114.04 beta=106.80 gamma=90.00
Positions (direct):
Ce  0.5000  0.5000  0.5000
Th  0.8340  0.8340  0.1681
Th  0.1660  0.1660  0.8319
C  0.8362  0.3362  0.1723
C  0.1638  0.6638  0.8277
C  0.5000  0.0000  0.5000

2.
This record from the Alexandria database describes a relaxed CeTh5C4 crystal. The functional is PBE.

- Formation energy: -232.8 meV per atom
- Symmetry: C2/m, No. 12

Unit cell a=3.6897 b=7.5521 c=8.3052 alpha=102.33 beta=102.83 gamma=90.00
Positions (direct):
Ce  0.5000  0.0000  0.0000
Th  0.1602  0.3096  0.3204
Th  0.1630  0.8421  0.3260
Th  0.8370  0.1579  0.6740
Th  0.5000  0.5000  0.0000
Th  0.8398  0.6904  0.6796
C  0.6676  0.0807  0.3353
C  0.0045  0.2531  0.0091
C  0.3324  0.9193  0.6647
C  0.9955  0.7469  0.9909

3.
This record from the Alexandria database describes a relaxed Ce2Th3C4 crystal. The functional is PBE.

- Formation energy: -225.8 meV per atom
- Symmetry: C2/m, No. 12

Unit cell a=3.7204 b=6.5054 c=8.3025 alpha=75.83 beta=77.05 gamma=73.38
Positions (direct):
Ce  0.6068  0.1768  0.6096
Ce  0.3932  0.8232  0.3904
Th  0.0000  0.0000  0.0000
Th  0.2015  0.4007  0.1964
Th  0.7985  0.5993  0.8036
C  0.8023  0.0832  0.3123
C  0.1977  0.9168  0.6877
C  0.3912  0.3094  0.9081
C  0.6088  0.6906  0.0919

4.
This record from the Alexandria database describes a relaxed Ce3ThC crystal. The functional is PBE.

- Formation energy: -6.6 meV per atom
- Symmetry: Pm-3m, No. 221

Unit cell a=5.0150 b=5.0150 c=5.0150 alpha=90.00 beta=90.00 gamma=90.00
Positions (direct):
C  0.0000  0.0000  0.0000
Ce  0.0000  0.5000  0.0000
Ce  0.0000  0.0000  0.5000
Ce  0.5000  0.0000  0.0000
Th  0.5000  0.5000  0.5000

5.
This record from the Alexandria database describes a relaxed CeThC crystal. The functional is PBE.

- Formation energy: -155.1 meV per atom
- Relative energy among the computed polymorphs: 0.3 meV/atom
- Symmetry: C2/m, No. 12

Unit cell a=3.5861 b=3.6208 c=12.0925 alpha=86.52 beta=81.47 gamma=60.32
Positions (direct):
C  0.8661  0.0054  0.2625
C  0.1339  0.9946  0.7375
Ce  0.5347  0.3184  0.6121
Ce  0.4653  0.6816  0.3879
Th  0.2590  0.3378  0.1442
Th  0.7410  0.6622  0.8558

6.
This record from the Alexandria database describes a relaxed CeThC2 crystal. The functional is PBE.

- Formation energy: -159.5 meV per atom
- Relative energy among the computed polymorphs: 0.0 meV/atom
- Symmetry: R-3m, No. 166

Unit cell a=3.7292 b=3.7292 c=6.4470 alpha=73.19 beta=73.19 gamma=60.00
Positions (direct):
C  0.2486  0.2486  0.2543
C  0.7514  0.7514  0.7457
Ce  0.5000  0.5000  0.5000
Th  0.0000  0.0000  0.0000

7.
This record from the Alexandria database describes a relaxed CeTh3C2 crystal. The functional is PBE.

- Formation energy: -181.8 meV per atom
- Relative energy among the computed polymorphs: 0.0 meV/atom
- Symmetry: C2/m, No. 12

Unit cell a=3.6474 b=8.4386 c=9.8719 alpha=89.31 beta=79.35 gamma=77.52
Positions (direct):
Ce  0.4398  0.4193  0.7011
Ce  0.5602  0.5807  0.2989
Th  0.0614  0.0726  0.8047
Th  0.9386  0.9274  0.1953
Th  0.6920  0.6732  0.9429
Th  0.3080  0.3268  0.0571
Th  0.8132  0.8229  0.5507
Th  0.1868  0.1771  0.4493
C  0.8751  0.3726  0.8772
C  0.1249  0.6274  0.1228
C  0.6257  0.1233  0.6254
C  0.3743  0.8767  0.3746

8.
This record from the Alexandria database describes a relaxed CeTh5C6 crystal. The functional is PBE.

- Formation energy: -235.6 meV per atom
- Symmetry: C2/m, No. 12

Unit cell a=6.5187 b=6.5186 c=6.5204 alpha=60.01 beta=80.43 gamma=70.57
Positions (direct):
C  0.7507  0.0832  0.3311
C  0.2493  0.5857  0.3311
C  0.2481  0.2482  0.0000
C  0.7519  0.7518  0.0000
C  0.7507  0.4143  0.6689
C  0.2493  0.9168  0.6689
Th  0.5000  0.1659  0.6682
Th  0.0000  0.3332  0.3336
Th  0.5000  0.5000  0.0000
Th  0.0000  0.6668  0.6664
Th  0.5000  0.8341  0.3318
Ce  0.0000  0.0000  0.0000

9.
This record from the Alexandria database describes a relaxed Ce3ThC2 crystal. The functional is PBE.

- Formation energy: -139.4 meV per atom
- Symmetry: C2/m, No. 12

Unit cell a=3.5718 b=7.3178 c=11.3628 alpha=79.50 beta=80.96 gamma=75.87
Positions (direct):
Ce  0.1380  0.9599  0.7640
Ce  0.8620  0.0401  0.2360
Ce  0.3616  0.2892  0.9875
Ce  0.6384  0.7108  0.0125
Ce  0.6383  0.2068  0.5167
Ce  0.3617  0.7932  0.4833
Th  0.8646  0.5377  0.7332
Th  0.1354  0.4623  0.2668
C  0.2519  0.6228  0.8733
C  0.7481  0.3772  0.1267
C  0.7512  0.8729  0.6247
C  0.2488  0.1271  0.3753

10.
This record from the Alexandria database describes a relaxed CeTh3C2 crystal. The functional is PBE.

- Formation energy: -148.4 meV per atom
- Relative energy among the computed polymorphs: 33.4 meV/atom
- Symmetry: Pnnm, No. 58

Unit cell a=3.6844 b=6.3176 c=12.1263 alpha=90.00 beta=90.00 gamma=90.00
Positions (direct):
Ce  0.0000  0.0000  0.5000
Ce  0.5000  0.5000  0.0000
Th  0.0000  0.0000  0.0000
Th  0.5000  0.5000  0.5000
Th  0.5000  0.8625  0.7396
Th  0.5000  0.1375  0.2604
Th  0.0000  0.3625  0.7604
Th  0.0000  0.6375  0.2396
C  0.5000  0.8190  0.1262
C  0.0000  0.3190  0.3738
C  0.0000  0.6810  0.6262
C  0.5000  0.1810  0.8738

11.
This record from the Alexandria database describes a relaxed Ce2Th5C5 crystal. The functional is PBE.

- Formation energy: -105.5 meV per atom
- Symmetry: C2/m, No. 12

Unit cell a=3.6441 b=6.3631 c=11.2636 alpha=102.75 beta=90.00 gamma=106.64
Positions (direct):
Ce  0.0325  0.0651  0.7848
Ce  0.9675  0.9349  0.2152
Th  0.5000  0.0000  0.5000
Th  0.6549  0.3097  0.0604
Th  0.7432  0.4863  0.3579
Th  0.2568  0.5137  0.6421
Th  0.3451  0.6903  0.9396
C  0.1329  0.2659  0.4332
C  0.6782  0.3563  0.8428
C  0.3218  0.6437  0.1572
C  0.8671  0.7341  0.5668
C  0.0000  0.0000  0.0000

12.
This record from the Alexandria database describes a relaxed CeThC crystal. The functional is PBE.

- Formation energy: -95.1 meV per atom
- Relative energy among the computed polymorphs: 60.2 meV/atom
- Symmetry: Pmmm, No. 47

Unit cell a=3.6823 b=3.6925 c=5.0616 alpha=90.02 beta=90.00 gamma=90.00
Positions (direct):
Ce  0.0116  0.4230  0.6793
Th  0.5116  0.9230  0.1793
C  0.5117  0.9230  0.6793